(1)
The following is a PBE-GGA calculation of a geometry-optimized K2Cd3S4 structure, from OQMD.

Cell lengths 13.8844, 10.3212, 6.6831 Å; angles 90.00, 90.00, 90.00 degrees
Last column: nearest neighbours and their distance in Å.
Fractional coordinates of all 36 atoms:
Cd: 0.7518 0.0920 0.1621  4 S 2.52-2.69
Cd: 0.7518 0.4080 0.1621  4 S 2.52-2.69
Cd: 0.7962 0.7500 0.2224  4 S 2.51-2.67
Cd: 0.2962 0.7500 0.2776  4 S 2.51-2.67
Cd: 0.2518 0.0920 0.3379  4 S 2.52-2.69
Cd: 0.2518 0.4080 0.3379  4 S 2.52-2.69
Cd: 0.7482 0.5920 0.6621  4 S 2.52-2.69
Cd: 0.7482 0.9080 0.6621  4 S 2.52-2.69
Cd: 0.7038 0.2500 0.7224  4 S 2.51-2.67
Cd: 0.2038 0.2500 0.7776  4 S 2.51-2.67
Cd: 0.2482 0.5920 0.8379  4 S 2.52-2.69
Cd: 0.2482 0.9080 0.8379  4 S 2.52-2.69
K: 0.0000 0.0000 0.0000  6 S 3.17-3.38
K: 0.0000 0.5000 0.0000  6 S 3.17-3.38
K: 0.4684 0.2500 0.0203  6 S 3.30-3.38
K: 0.9684 0.2500 0.4797  6 S 3.30-3.38
K: 0.5000 0.0000 0.5000  6 S 3.17-3.38
K: 0.5000 0.5000 0.5000  6 S 3.17-3.38
K: 0.0316 0.7500 0.5203  6 S 3.30-3.38
K: 0.5316 0.7500 0.9797  6 S 3.30-3.38
S: 0.1407 0.7500 0.0683  3 Cd 2.57-2.69
S: 0.3667 0.5324 0.1178  3 Cd 2.52-2.67
S: 0.3667 0.9676 0.1178  3 Cd 2.52-2.67
S: 0.1443 0.2500 0.1318  3 Cd 2.51-2.60
S: 0.6443 0.2500 0.3682  3 Cd 2.51-2.60
S: 0.8667 0.5324 0.3822  3 Cd 2.52-2.67
S: 0.8667 0.9676 0.3822  3 Cd 2.52-2.67
S: 0.6407 0.7500 0.4317  3 Cd 2.57-2.69
S: 0.3593 0.2500 0.5683  3 Cd 2.57-2.69
S: 0.1333 0.0324 0.6178  3 Cd 2.52-2.67
S: 0.1333 0.4676 0.6178  3 Cd 2.52-2.67
S: 0.3557 0.7500 0.6318  3 Cd 2.51-2.60
S: 0.8557 0.7500 0.8682  3 Cd 2.51-2.60
S: 0.6333 0.0324 0.8822  3 Cd 2.52-2.67
S: 0.6333 0.4676 0.8822  3 Cd 2.52-2.67
S: 0.8593 0.2500 0.9317  3 Cd 2.57-2.69

=====

(2)
The following is a PBE-GGA calculation of a geometry-optimized ThBr structure, from OQMD.

Cell lengths 4.7205, 4.7205, 4.7205 Å; angles 60.00, 60.00, 60.00 degrees
Last column: nearest neighbours and their distance in Å.
Fractional coordinates of all 2 atoms:
Br: 0.0000 0.0000 0.0000  4 Th 2.89
Th: 0.2500 0.2500 0.2500  4 Br 2.89

=====

(3)
The following is a PBE-GGA calculation of a geometry-optimized DyHo2Cu2B2N3 structure, from OQMD.

Cell lengths 10.4821, 10.4821, 10.4821 Å; angles 160.93, 160.93, 27.10 degrees
Last column: nearest neighbours and their distance in Å.
Fractional coordinates of all 10 atoms:
B: 0.1843 0.1843 0.0000  1 N 1.44
B: 0.8157 0.8157 0.0000  1 N 1.44
Cu: 0.7500 0.2500 0.5000  4 B 2.19
Cu: 0.2500 0.7500 0.5000  4 B 2.19
Dy: 0.0000 0.0000 0.0000  6 N 2.32-2.46
Ho: 0.3793 0.3793 0.0000  5 N 2.46
Ho: 0.6207 0.6207 0.0000  5 N 2.46
N: 0.1137 0.1137 0.0000  1 B 1.44
N: 0.5000 0.5000 0.0000  4 Dy 2.46, 2 Ho 2.46
N: 0.8863 0.8863 0.0000  1 B 1.44

=====

no.,volume (A^3/atom),E_tot (hartree per atom)
1,26.60,-0.1186
2,37.19,-0.1677
3,12.29,-0.2580